First-principles (PBE+U) data for a relaxed SiWNF2 crystal, as listed in Alexandria via LeMat-Bulk.

```
data_SiWNF2
_chemical_formula_sum 'Si1 W1 N1 F2'
_cell_length_a 4.240
_cell_length_b 4.240
_cell_length_c 4.074
_cell_angle_alpha 90.00
_cell_angle_beta 90.00
_cell_angle_gamma 90.00
_space_group_name_H-M_alt 'P 4/m m m'
_space_group_IT_number 123
_space_group_name_Hall '-P 4 2'
loop_
_atom_site_label
_atom_site_type_symbol
_atom_site_fract_x
_atom_site_fract_y
_atom_site_fract_z
Si1 Si 0.000 0.000 0.000
W1 W 0.500 0.500 0.500
N1 N 0.500 0.500 0.000
F1 F 0.000 0.500 0.500
```

Calculated values
excess energy over the best structure of this formula in the dataset = 0.00 eV per formula unit
calculated volume = 14.7 Å³/atom
energy = -5.418 eV per atom